Compound: NaZn2HSe2O7
Source: Alexandria
Functional: GGA-PBEsol
Structure: relaxed

Results
V = 12.90 Å³ per atom
density of states at the Fermi level = 0.0 states/eV/cell
calculated total energy = -271.44 eV for the cell shown

Lattice parameters (Å, degrees): 6.0347 8.3943 13.2386 90.00 90.00 90.00
Sites, in units of the cell vectors:
Na: 0.2500 0.1259 0.2492
Na: 0.7500 0.6259 0.2508
Na: 0.2500 0.3741 0.7492
Na: 0.7500 0.8741 0.7508
Zn: 0.0000 0.0000 0.0000
Zn: 0.5000 0.0000 0.0000
Zn: 0.7500 0.2864 0.1129
Zn: 0.2500 0.7864 0.3871
Zn: 0.0000 0.5000 0.5000
Zn: 0.5000 0.5000 0.5000
Zn: 0.7500 0.2136 0.6129
Zn: 0.2500 0.7136 0.8871
H: 0.7500 0.9694 0.1598
H: 0.2500 0.4694 0.3402
H: 0.7500 0.5306 0.6598
H: 0.2500 0.0306 0.8402
Se: 0.2500 0.3826 0.0269
Se: 0.2500 0.7736 0.1685
Se: 0.7500 0.2736 0.3315
Se: 0.7500 0.8826 0.4731
Se: 0.2500 0.1174 0.5269
Se: 0.2500 0.7264 0.6685
Se: 0.7500 0.2264 0.8315
Se: 0.7500 0.6174 0.9731
O: 0.0274 0.2530 0.0158
O: 0.4726 0.2530 0.0158
O: 0.7500 0.5291 0.0896
O: 0.7500 0.0371 0.0995
O: 0.2500 0.9603 0.1087
O: 0.5395 0.3013 0.2457
O: 0.9605 0.3013 0.2457
O: 0.0395 0.8013 0.2543
O: 0.4605 0.8013 0.2543
O: 0.7500 0.4603 0.3913
O: 0.2500 0.5371 0.4005
O: 0.2500 0.0291 0.4104
O: 0.5274 0.7530 0.4842
O: 0.9726 0.7530 0.4842
O: 0.0274 0.2470 0.5158
O: 0.4726 0.2470 0.5158
O: 0.7500 0.9709 0.5896
O: 0.7500 0.4629 0.5995
O: 0.2500 0.5397 0.6087
O: 0.5395 0.1987 0.7457
O: 0.9605 0.1987 0.7457
O: 0.0395 0.6987 0.7543
O: 0.4605 0.6987 0.7543
O: 0.7500 0.0397 0.8913
O: 0.2500 0.9629 0.9005
O: 0.2500 0.4709 0.9104
O: 0.5274 0.7470 0.9842
O: 0.9726 0.7470 0.9842